Here is Cr2PHO6 after structural relaxation from Alexandria. Energies are from PBE+U.

Properties
Its symmetry is P1 (1). For the calculated density, the calculation gives 4.1 g cm⁻³. For the magnetic moment, the calculation gives 6.000 μB per cell. As for the electronic total energy: -7.134 eV per atom.

Lattice parameters (Å, degrees): 4.828 4.875 5.318 64.26 63.65 60.90
Sites, in units of the cell vectors:
Cr: 0.000 0.000 0.000
Cr: 0.489 0.499 0.522
P: 0.667 0.715 0.929
H: 0.111 0.281 0.234
O: 0.036 0.753 0.762
O: 0.335 0.599 0.185
O: 0.438 0.051 0.748
O: 0.611 0.871 0.192
O: 0.762 0.449 0.758
O: 0.908 0.274 0.239